A geometry-optimized PmSmTeAs structure. Source: Alexandria via LeMat-Bulk, functional PBE.

Results
DOS at the Fermi energy (states/eV/f.u.): 2.8
Theoretical density (Mg/m³): 7.07
Size of the total moment (μB/cell): 0.0
Formation energy without anion corrections (eV/atom): -1.50
VASP energy (eV per atom): -5.8158

Unit cell a=4.242 b=4.242 c=7.891 alpha=90.00 beta=105.59 gamma=120.00
Sites, in units of the cell vectors:
Sm (0.491, 0.143, 0.650)
Pm (0.114, 0.955, 0.084)
As (0.305, 0.550, 0.870)
Te (0.969, 0.382, 0.366)



A geometry-optimized Tb7NdEr12 structure. Source: Alexandria via LeMat-Bulk, functional PBE.

Results
DOS at the Fermi energy (states/eV/f.u.): 24.5
Theoretical density (Mg/m³): 7.75
Energy of formation from the pure elements (eV/atom): 0.707
Size of the total moment (μB/cell): 0.0
VASP energy (eV per atom): -3.8897

Unit cell a=9.686 b=9.686 c=9.686 alpha=109.47 beta=109.47 gamma=109.47
Sites, in units of the cell vectors:
Er (0.254, 0.746, 0.000)
Er (0.746, 0.254, 0.000)
Tb (0.500, 0.500, 0.500)
Tb (0.500, 0.000, 0.000)
Nd (0.000, 0.000, 0.000)
Er (0.508, 0.254, 0.254)
Tb (0.000, 0.500, 0.000)
Er (0.746, 0.492, 0.746)
Er (0.254, 0.254, 0.508)
Er (0.000, 0.254, 0.746)
Er (0.254, 0.508, 0.254)
Er (0.000, 0.746, 0.254)
Er (0.746, 0.000, 0.254)
Er (0.492, 0.746, 0.746)
Tb (0.000, 0.000, 0.500)
Er (0.746, 0.746, 0.492)
Tb (0.500, 0.500, 0.000)
Tb (0.500, 0.000, 0.500)
Tb (0.000, 0.500, 0.500)
Er (0.254, 0.000, 0.746)



A geometry-optimized CrTe2Br2 structure. Source: Alexandria via LeMat-Bulk, functional PBE.

Results
DOS at the Fermi energy (states/eV/f.u.): 5.3
Theoretical density (Mg/m³): 4.54
Size of the total moment (μB/cell): 4.1
Formation energy without anion corrections (eV/atom): 0.88
VASP energy (eV per atom): -2.9657

Unit cell a=5.641 b=5.641 c=5.362 alpha=90.00 beta=90.00 gamma=90.00
Each line ends with the local moment (μB).
Sites, in units of the cell vectors:
Br (0.000, 0.000, 0.500)  0.01
Te (0.000, 0.500, 0.000)  -0.19
Cr (0.500, 0.500, 0.500)  4.22
Br (0.000, 0.000, 0.000)  -0.06
Te (0.500, 0.000, 0.000)  -0.19



Repeat the first record exactly.
A geometry-optimized PmSmTeAs structure. Source: Alexandria via LeMat-Bulk, functional PBE.

Results
DOS at the Fermi energy (states/eV/f.u.): 2.8
Theoretical density (Mg/m³): 7.07
Size of the total moment (μB/cell): 0.0
Formation energy without anion corrections (eV/atom): -1.50
VASP energy (eV per atom): -5.8158

Unit cell a=4.242 b=4.242 c=7.891 alpha=90.00 beta=105.59 gamma=120.00
Sites, in units of the cell vectors:
Sm (0.491, 0.143, 0.650)
Pm (0.114, 0.955, 0.084)
As (0.305, 0.550, 0.870)
Te (0.969, 0.382, 0.366)